Entry 1:
A crystal of CaTlHg2 relaxed with PBEsol. Source: Alexandria, functional SCAN.

a b c (Å): 3.615 4.668 6.305
angles (deg): 90.00 106.15 90.00
Fractional positions:
Tl 0.541 0.000 0.462
Ca 0.213 0.500 0.792
Hg 0.807 0.000 0.982
Hg 0.939 0.500 0.263

Output
Energy   -54.959 eV per atom

Entry 2:
A crystal of CaTl2Hg relaxed with PBEsol. Source: Alexandria, functional SCAN.

a b c (Å): 4.652 4.656 4.727
angles (deg): 90.00 90.00 90.00
Fractional positions:
Tl 0.000 0.000 0.000
Tl 0.500 0.500 0.000
Ca 0.500 0.000 0.500
Hg 0.000 0.500 0.500

Output
Energy   -56.005 eV per atom

Entry 3:
A crystal of CaTl2Hg relaxed with PBEsol. Source: Alexandria, functional SCAN.

a b c (Å): 5.254 5.254 5.254
angles (deg): 60.00 60.00 60.00
Fractional positions:
Tl 0.000 0.000 0.000
Tl 0.750 0.750 0.750
Ca 0.500 0.500 0.500
Hg 0.250 0.250 0.250

Output
Energy   -55.979 eV per atom

Entry 4:
A crystal of CaTlHg relaxed with PBEsol. Source: Alexandria, functional SCAN.

a b c (Å): 4.948 4.948 4.948
angles (deg): 60.00 60.00 60.00
Fractional positions:
Tl 0.000 0.000 0.000
Ca 0.500 0.500 0.500
Hg 0.750 0.750 0.750

Output
Energy   -50.533 eV per atom

For reference, total magnetic moment by record: 0.00, 0.00, 0.00, 0.00 Bohr magnetons per cell.